# 1
The following is a PBE calculation of LiNp2In3Se6 after structural relaxation, from Alexandria via LeMat-Bulk.

Properties
Space group   C2/m
Formation energy without anion corrections   -9.68 eV/f.u.
DOS at the Fermi energy   14.8 states/eV/cell

Unit cell a=7.114 b=7.114 c=8.017 alpha=98.32 beta=98.32 gamma=120.11
Last column: magnetic moment on the atom in μB.
Element x y z (fractional)
1 Li 0.000 0.000 0.000  0.00
2 Np 0.333 0.667 0.000  3.39
3 Np 0.667 0.333 0.000  3.39
4 In 0.161 0.839 0.500  -0.03
5 In 0.839 0.161 0.500  -0.03
6 In 0.500 0.500 0.500  -0.03
7 Se 0.930 0.582 0.789  -0.11
8 Se 0.724 0.724 0.201  -0.11
9 Se 0.070 0.418 0.211  -0.11
10 Se 0.582 0.930 0.789  -0.11
11 Se 0.276 0.276 0.799  -0.11
12 Se 0.418 0.070 0.211  -0.11

# 2
The following is a PBE calculation of Li5Cd12Hg2 after structural relaxation, from Alexandria via LeMat-Bulk.

Properties
Space group   C2/m
DOS at the Fermi energy   4.7 states/eV/cell
Calculated formation energy   -103.6 meV/atom

Unit cell a=7.984 b=7.978 c=7.560 alpha=83.79 beta=90.00 gamma=120.02
Element x y z (fractional)
1 Li 0.226 0.451 0.470
2 Li 0.360 0.721 0.111
3 Li 0.000 0.000 0.500
4 Li 0.640 0.279 0.889
5 Li 0.774 0.549 0.530
6 Cd 0.137 0.275 0.151
7 Cd 0.058 0.492 0.805
8 Cd 0.434 0.492 0.805
9 Cd 0.189 0.797 0.430
10 Cd 0.608 0.797 0.430
11 Cd 0.438 0.876 0.750
12 Cd 0.562 0.124 0.250
13 Cd 0.811 0.203 0.570
14 Cd 0.392 0.203 0.570
15 Cd 0.942 0.508 0.195
16 Cd 0.566 0.508 0.195
17 Cd 0.863 0.725 0.849
18 Hg 0.773 0.000 0.000
19 Hg 0.227 0.000 0.000

# 3
The following is a PBE calculation of CaLuAgAu after structural relaxation, from Alexandria via LeMat-Bulk.

Properties
Space group   F-43m
DOS at the Fermi energy   3.6 states/eV/cell
Calculated formation energy   -549.7 meV/atom

Unit cell a=5.073 b=5.073 c=5.073 alpha=60.00 beta=60.00 gamma=60.00
Element x y z (fractional)
1 Ca 0.250 0.250 0.250
2 Lu 0.750 0.750 0.750
3 Au 0.000 0.000 0.000
4 Ag 0.500 0.500 0.500

Repeat the first record exactly.
The following is a PBE calculation of LiNp2In3Se6 after structural relaxation, from Alexandria via LeMat-Bulk.

Properties
Space group   C2/m
Formation energy without anion corrections   -9.68 eV/f.u.
DOS at the Fermi energy   14.8 states/eV/cell

Unit cell a=7.114 b=7.114 c=8.017 alpha=98.32 beta=98.32 gamma=120.11
Last column: magnetic moment on the atom in μB.
Element x y z (fractional)
1 Li 0.000 0.000 0.000  0.00
2 Np 0.333 0.667 0.000  3.39
3 Np 0.667 0.333 0.000  3.39
4 In 0.161 0.839 0.500  -0.03
5 In 0.839 0.161 0.500  -0.03
6 In 0.500 0.500 0.500  -0.03
7 Se 0.930 0.582 0.789  -0.11
8 Se 0.724 0.724 0.201  -0.11
9 Se 0.070 0.418 0.211  -0.11
10 Se 0.582 0.930 0.789  -0.11
11 Se 0.276 0.276 0.799  -0.11
12 Se 0.418 0.070 0.211  -0.11

Repeat the third record exactly.
The following is a PBE calculation of CaLuAgAu after structural relaxation, from Alexandria via LeMat-Bulk.

Properties
Space group   F-43m
DOS at the Fermi energy   3.6 states/eV/cell
Calculated formation energy   -549.7 meV/atom

Unit cell a=5.073 b=5.073 c=5.073 alpha=60.00 beta=60.00 gamma=60.00
Element x y z (fractional)
1 Ca 0.250 0.250 0.250
2 Lu 0.750 0.750 0.750
3 Au 0.000 0.000 0.000
4 Ag 0.500 0.500 0.500

- Which formula does entry 1 have?
  LiNp2In3Se6

- Look up the DOS at the Fermi energy of the third one.
  3.6 states/eV/cell